Entry from Alexandria: a geometry-optimized MoRh3 structure (GGA-PBE). Values from VASP.

Output
Uncorrected energy ... -26.4 eV/cell
Theoretical density ... 6.48 g/cm³
Total magnetization ... 0.0 Bohr magnetons per cell
E_form ... 1629 meV per atom

Geometry as Quantum ESPRESSO input:
```
&SYSTEM
  ibrav = 0, nat = 4, ntyp = 2
/
ATOMIC_SPECIES
Mo 95.94 Mo.upf
Rh 102.91 Rh.upf
ATOMIC_POSITIONS angstrom
Mo 0.000 0.000 0.000
Rh -2.171 -0.492 0.750
Rh -0.101 -1.817 -1.486
Rh -0.891 1.406 -1.658
CELL_PARAMETERS angstrom
-1.782 2.811 -3.316
-0.202 -3.634 -2.972
-4.343 -0.985 1.499
```